A plane-wave DFT calculation with meta-GGA SCAN was carried out for a crystal of SrAu3 relaxed with PBEsol.

- formation energy (eV per atom) = -0.385
- symmetry = P-6m2
- mass density (kg/m³) = 11052
- DOS(E_F) (states/eV/cell) = 1.4

POSCAR file:
```
SrAu3
1.0
4.244 0.000 0.000
-2.122 3.675 0.000
0.000 0.000 6.536
Sr Au
1 3
direct
0.000 0.000 0.000
0.000 0.000 0.500
0.667 0.333 0.290
0.667 0.333 0.710
```


A plane-wave DFT calculation with meta-GGA SCAN was carried out for a crystal of SrAu2 relaxed with PBEsol.

- formation energy (eV per atom) = -0.800
- symmetry = Cmcm
- mass density (kg/m³) = 11378
- DOS(E_F) (states/eV/cell) = 3.2

POSCAR file:
```
SrAu2
1.0
4.440 0.000 0.000
0.000 10.547 0.000
0.000 0.000 6.002
Sr Au
4 8
direct
0.000 0.197 0.250
0.000 0.803 0.750
0.500 0.303 0.750
0.500 0.697 0.250
0.000 0.095 0.750
0.000 0.500 0.000
0.000 0.500 0.500
0.000 0.905 0.250
0.500 0.000 0.000
0.500 0.000 0.500
0.500 0.405 0.250
0.500 0.595 0.750
```


A plane-wave DFT calculation with meta-GGA SCAN was carried out for a crystal of SrAu3 relaxed with PBEsol.

- formation energy (eV per atom) = -0.613
- symmetry = Pmmn
- mass density (kg/m³) = 12759
- DOS(E_F) (states/eV/cell) = 6.9

POSCAR file:
```
SrAu3
1.0
6.981 0.000 0.000
0.000 13.385 0.000
0.000 0.000 5.670
Sr Au
6 18
direct
0.250 0.103 0.193
0.250 0.397 0.193
0.250 0.750 0.523
0.750 0.250 0.477
0.750 0.603 0.807
0.750 0.897 0.807
0.036 0.070 0.684
0.036 0.430 0.684
0.049 0.750 0.048
0.250 0.250 0.634
0.250 0.584 0.895
0.250 0.916 0.895
0.451 0.750 0.048
0.464 0.070 0.684
0.464 0.430 0.684
0.536 0.570 0.316
0.536 0.930 0.316
0.549 0.250 0.952
0.750 0.084 0.105
0.750 0.416 0.105
0.750 0.750 0.366
0.951 0.250 0.952
0.964 0.570 0.316
0.964 0.930 0.316
```


A plane-wave DFT calculation with meta-GGA SCAN was carried out for a crystal of Sr4TcAu relaxed with PBEsol.

- formation energy (eV per atom) = 1.080
- symmetry = F-43m
- mass density (kg/m³) = 5711
- DOS(E_F) (states/eV/cell) = 6.2

POSCAR file:
```
Sr4TcAu
1.0
0.000 4.544 4.544
4.544 0.000 4.544
4.544 4.544 0.000
Sr Tc Au
4 1 1
direct
0.125 0.125 0.125
0.125 0.125 0.624
0.125 0.624 0.125
0.624 0.125 0.125
0.500 0.500 0.500
0.750 0.750 0.750
```


A plane-wave DFT calculation with meta-GGA SCAN was carried out for a crystal of SrTc2Au relaxed with PBEsol.

- formation energy (eV per atom) = 0.768
- symmetry = P4/mmm
- mass density (kg/m³) = 10896
- DOS(E_F) (states/eV/cell) = 3.8

POSCAR file:
```
SrTc2Au
1.0
3.928 0.000 0.000
0.000 3.928 0.000
0.000 0.000 4.747
Sr Tc Au
1 2 1
direct
0.000 0.000 0.000
0.000 0.500 0.500
0.500 0.000 0.500
0.500 0.500 0.000
```


A plane-wave DFT calculation with meta-GGA SCAN was carried out for a crystal of SrTeAu4 relaxed with PBEsol.

- ΔE_f (raw) (eV per atom) = -0.543
- symmetry = F-43m
- mass density (kg/m³) = 13150
- DOS(E_F) (states/eV/cell) = 0.1

POSCAR file:
```
SrTeAu4
1.0
0.000 3.986 3.986
3.986 0.000 3.986
3.986 3.986 0.000
Sr Te Au
1 1 4
direct
0.000 0.000 0.000
0.250 0.250 0.250
0.125 0.625 0.625
0.625 0.125 0.625
0.625 0.625 0.125
0.625 0.625 0.625
```